[1]
Entry from the Alexandria database: a relaxed Th2MgGe3Pd4 crystal (PBE).

Summary:
The space group is P-4m2, No. 115.

POSCAR file:
```
Th2MgGe3Pd4
1.0
-2.955 2.251 -2.225
1.175 -2.047 -3.631
-7.082 -7.424 1.894
Pd Th Ge Mg
4 2 3 1
Cartesian
-2.000 -3.735 -1.124 Pd
0.000 0.000 0.000 Pd
-5.972 -3.586 0.089 Pd
-0.890 0.102 -2.928 Pd
-4.823 -6.694 -0.369 Th
-3.149 -0.627 -0.666 Th
-0.342 -1.997 -1.567 Ge
-7.630 -5.324 0.533 Ge
-3.541 -3.712 0.947 Ge
-4.431 -3.609 -1.981 Mg
```


[2]
Entry from the Alexandria database: a relaxed ThMgGe2Pd5 crystal (PBE).

Summary:
The space group is P4/mmm, No. 123.

POSCAR file:
```
ThMgGe2Pd5
1.0
4.298 0.000 0.000
0.000 4.298 0.000
0.000 0.000 8.595
Pd Mg Ge Th
5 1 2 1
Cartesian
2.149 0.000 2.479 Pd
0.000 2.149 6.116 Pd
0.000 2.149 2.479 Pd
2.149 2.149 4.298 Pd
2.149 0.000 6.116 Pd
0.000 0.000 4.298 Mg
2.149 2.149 7.363 Ge
2.149 2.149 1.232 Ge
0.000 0.000 0.000 Th
```


[3]
Entry from the Alexandria database: a relaxed MgTiGePd2 crystal (PBE).

Summary:
The space group is P4/mmm, No. 123.

POSCAR file:
```
MgTiGePd2
1.0
-0.370 0.355 4.611
-5.130 -0.611 -0.365
0.519 -4.593 0.396
Pd Ti Ge Mg
2 1 1 1
Cartesian
0.259 -2.297 0.198 Pd
-0.185 0.178 2.305 Pd
0.000 0.000 0.000 Ti
-2.491 -2.424 2.321 Ge
-2.565 -0.305 -0.182 Mg
```


[4]
Entry from the Alexandria database: a relaxed TmMgGe2Pd5 crystal (PBE).

Summary:
The space group is P4/mmm, No. 123.

POSCAR file:
```
TmMgGe2Pd5
1.0
4.165 0.000 0.000
0.000 4.165 0.000
0.000 0.000 8.855
Pd Tm Mg Ge
5 1 1 2
Cartesian
2.083 2.083 4.427 Pd
2.083 0.000 2.510 Pd
0.000 2.083 2.510 Pd
2.083 0.000 6.345 Pd
0.000 2.083 6.345 Pd
0.000 0.000 0.000 Tm
0.000 0.000 4.427 Mg
2.083 2.083 1.213 Ge
2.083 2.083 7.642 Ge
```


[5]
Entry from the Alexandria database: a relaxed TmMgGePd crystal (PBE).

Summary:
The space group is F-43m, No. 216.

POSCAR file:
```
TmMgGePd
1.0
4.770 0.000 0.000
2.385 4.131 0.000
2.385 1.377 3.895
Pd Tm Ge Mg
1 1 1 1
Cartesian
7.156 4.131 2.921 Pd
0.000 0.000 0.000 Tm
2.385 1.377 0.974 Ge
4.770 2.754 1.948 Mg
```


[6]
Entry from the Alexandria database: a relaxed MgV2GePd crystal (PBE).

Summary:
The space group is P4/mmm, No. 123.

POSCAR file:
```
MgV2GePd
1.0
4.910 0.000 0.000
0.000 4.631 0.000
0.000 0.000 4.910
Ge V Mg Pd
1 2 1 1
Cartesian
0.000 2.315 0.000 Ge
0.000 0.000 2.455 V
2.455 0.000 0.000 V
2.455 2.315 2.455 Mg
0.000 0.000 0.000 Pd
```


Number 1: calculated density 9.6 Mg/m³, uncorrected energy -58.88 eV for the cell shown, formation energy from the elements -0.78 eV/atom. Number 2: calculated density 9.8 Mg/m³, uncorrected energy -50.69 eV for the cell shown, formation energy from the elements -0.72 eV/atom. Number 3: calculated density 5.3 Mg/m³, uncorrected energy -21.19 eV for the cell shown, formation energy from the elements 0.66 eV/atom. Number 4: calculated density 9.4 Mg/m³, uncorrected energy -47.52 eV for the cell shown, formation energy from the elements -0.69 eV/atom. Number 5: calculated density 8.1 Mg/m³, uncorrected energy -18.54 eV for the cell shown, formation energy from the elements -0.67 eV/atom. Number 6: calculated density 4.5 Mg/m³, uncorrected energy -25.60 eV for the cell shown, formation energy from the elements 0.81 eV/atom.